No. 1
Below is a relaxed structure of Li3GaO3, with properties calculated at the PBE-GGA level.

Results
Polymorph energy (0 for the lowest one)   0.0 kJ/mol of atoms
Formation energy from raw total energies   -1802 meV/atom
Total moment   0.00 μB/f.u.

Cell and atoms, written as POSCAR:
```
Li3GaO3
1.0
-1.018 -0.596 -3.322
-2.473 -8.514 2.284
-8.409 2.989 2.040
Li Ga O
12 4 12
Cartesian
-5.617 1.104 1.523
-4.262 -0.284 -0.514
-7.884 0.688 0.421
-3.545 -1.801 1.409
-8.499 -0.355 2.667
-2.687 -3.326 -0.451
-9.212 -2.793 1.452
-2.383 -5.169 1.657
-7.336 -3.724 2.915
-4.016 -6.808 0.580
-7.638 -5.836 1.516
-5.265 -6.628 2.801
-1.259 -0.638 0.500
-6.638 -1.730 0.473
-5.262 -4.390 0.529
-9.623 -4.887 3.824
-7.819 1.846 2.064
-2.971 0.019 0.907
-6.086 0.000 -0.006
-1.722 -2.399 0.958
-8.375 -1.161 0.903
-4.868 -2.511 0.071
-7.031 -3.609 0.931
-3.524 -4.959 0.098
-9.160 -3.125 3.366
-5.813 -6.120 1.008
-7.910 -5.543 3.417
-3.062 -7.371 2.259
```



No. 2
Below is a relaxed structure of LiGaO, with properties calculated at the PBE-GGA level.

Results
Formation energy from raw total energies   -1354 meV/atom
Total moment   0.00 μB/f.u.

Cell and atoms, written as POSCAR:
```
LiGaO
1.0
-0.193 3.573 -0.025
-0.124 1.806 3.087
7.312 2.194 1.085
Li O Ga
2 2 2
Cartesian
6.435 3.945 2.099
0.560 3.628 2.048
1.086 1.858 1.031
5.910 5.716 3.116
2.880 1.954 1.047
4.116 5.619 3.101
```



No. 3
Below is a relaxed structure of Li2Ga2O3, with properties calculated at the PBE-GGA level.

Results
Formation energy from raw total energies   -1387 meV/atom
Total moment   0.00 μB/f.u.

Cell and atoms, written as POSCAR:
```
Li2Ga2O3
1.0
5.555 0.000 0.229
0.000 6.081 0.000
2.681 0.000 4.954
Li Ga O
4 4 6
Cartesian
5.010 2.323 3.197
6.003 5.364 2.101
2.233 0.717 3.082
3.225 3.758 1.986
7.341 3.958 4.704
4.563 5.163 4.589
3.672 0.918 0.594
0.895 2.123 0.479
2.777 3.040 0.115
0.000 0.000 0.000
5.695 0.453 3.722
5.318 3.494 1.575
2.918 2.587 3.608
2.541 5.628 1.461
```



No. 4
Below is a relaxed structure of LiGaO2, with properties calculated at the PBE-GGA level.

Results
Formation energy from raw total energies   -1840 meV/atom
Total moment   0.00 μB/f.u.

Cell and atoms, written as POSCAR:
```
LiGaO2
1.0
3.160 0.000 0.000
-1.580 2.737 0.000
0.000 -0.002 5.199
Li Ga O
1 1 2
Cartesian
1.543 1.356 3.499
-0.038 2.268 1.122
1.542 1.356 0.389
-0.037 2.269 2.888
```



No. 5
Below is a relaxed structure of LiGa2O3, with properties calculated at the PBE-GGA level.

Results
Formation energy from raw total energies   -1564 meV/atom
Total moment   0.00 μB/f.u.

Cell and atoms, written as POSCAR:
```
LiGa2O3
1.0
-3.267 0.854 -1.597
-0.288 -4.726 -1.940
-3.833 -2.615 6.442
Li Ga O
2 4 6
Cartesian
-2.437 -2.933 1.231
-4.951 -3.554 1.674
-4.336 -4.928 4.050
-3.051 -1.559 -1.145
-4.078 -4.775 -0.766
-3.310 -1.712 3.671
-3.910 -2.978 -0.148
-3.478 -3.509 3.053
-6.231 -4.892 3.578
-1.156 -1.596 -0.672
-2.325 -1.094 1.987
-5.063 -5.394 0.919
```



No. 6
Below is a relaxed structure of Li3GaO, with properties calculated at the PBE-GGA level.

Results
Polymorph energy (0 for the lowest one)   132.8 kJ/mol of atoms
Formation energy from raw total energies   463 meV/atom
Total moment   1.77 μB/f.u.

Cell and atoms, written as POSCAR:
```
Li3GaO
1.0
-3.508 2.909 1.419
-3.051 -3.670 -0.018
1.080 -0.921 4.557
O Ga Li
1 1 3
Cartesian
-2.739 -0.841 2.979
0.000 0.000 0.000
-1.526 -1.835 -0.009
0.540 -0.460 2.279
-1.754 1.454 0.710
```



No. 7
Below is a relaxed structure of LiGa3O, with properties calculated at the PBE-GGA level.

Results
Polymorph energy (0 for the lowest one)   59.7 kJ/mol of atoms
Formation energy from raw total energies   410 meV/atom
Total moment   0.00 μB/f.u.

Cell and atoms, written as POSCAR:
```
LiGa3O
1.0
-3.822 0.238 -2.282
2.152 -1.166 -3.726
-0.796 -4.296 0.885
O Ga Li
1 3 1
Cartesian
-1.233 -2.612 -2.561
1.076 -0.583 -1.863
-0.398 -2.148 0.443
-1.911 0.119 -1.141
0.000 0.000 0.000
```



No. 8
Below is a relaxed structure of Li3GaO, with properties calculated at the PBE-GGA level.

Results
Polymorph energy (0 for the lowest one)   0.0 kJ/mol of atoms
Formation energy from raw total energies   -914 meV/atom
Total moment   0.00 μB/f.u.

Cell and atoms, written as POSCAR:
```
Li3GaO
1.0
-0.133 0.864 3.876
0.833 -3.785 0.873
3.882 0.841 -0.054
O Ga Li
1 1 3
Cartesian
0.000 0.000 0.000
2.291 -1.040 2.347
0.416 -1.893 0.436
1.941 0.421 -0.027
-0.067 0.432 1.938
```



No. 9
Below is a relaxed structure of LiGaO2, with properties calculated at the PBE-GGA level.

Results
Formation energy from raw total energies   -1963 meV/atom
Total moment   0.00 μB/f.u.

Cell and atoms, written as POSCAR:
```
LiGaO2
1.0
-3.019 -2.198 -3.580
-0.675 -3.960 -3.259
-2.891 -4.084 -1.315
O Ga Li
2 1 1
Cartesian
-1.590 -2.473 -1.969
-4.995 -7.768 -6.185
-3.292 -5.121 -4.077
0.000 0.000 0.000
```



No. 10
Below is a relaxed structure of Li2GaOsO6, with properties calculated at the PBE-GGA level.

Results
Formation energy from raw total energies   -1463 meV/atom
Total moment   1.01 μB/f.u.

Cell and atoms, written as POSCAR:
```
Li2GaOsO6
1.0
-3.390 -1.086 3.627
3.593 -2.911 2.486
2.186 5.946 3.802
Li Ga Os O
4 2 2 12
Cartesian
3.998 -1.297 3.353
1.883 2.358 6.021
-1.609 3.246 6.563
0.506 -0.410 3.895
-1.695 -0.543 1.814
2.889 1.517 3.144
-0.602 2.430 3.715
1.797 -1.455 1.243
1.505 -1.976 3.044
1.410 0.042 7.110
0.884 3.925 6.872
0.978 1.906 2.806
2.327 0.226 4.565
2.147 2.313 8.572
0.062 1.723 5.350
0.242 -0.365 1.344
-0.503 -1.094 5.484
3.761 1.227 6.593
2.891 3.042 4.432
-1.372 0.722 3.323
```



No. 11
Below is a relaxed structure of LiGaP2O6, with properties calculated at the PBE-GGA level.

Results
Formation energy from raw total energies   -1963 meV/atom
Total moment   0.00 μB/f.u.

Cell and atoms, written as POSCAR:
```
LiGaP2O6
1.0
-1.309 3.378 -3.212
-5.835 3.253 3.925
5.083 5.538 1.877
Li Ga P O
2 2 4 12
Cartesian
-5.804 4.172 3.054
3.742 7.997 -0.464
1.686 5.740 1.650
-3.747 6.429 0.940
-1.638 6.899 3.850
-1.466 3.225 0.664
-0.424 5.270 -1.260
-0.595 8.943 1.926
-1.642 7.961 4.938
-1.436 2.169 -0.429
-0.419 4.208 -2.348
-0.625 10.000 3.019
-2.915 6.345 3.331
-2.591 3.277 1.633
0.853 5.824 -0.741
0.529 8.892 0.957
-2.019 9.033 1.112
-1.321 4.694 -0.011
-0.042 3.136 1.478
-0.740 7.475 2.601
```



No. 12
Below is a relaxed structure of LiGa2PO6, with properties calculated at the PBE-GGA level.

Results
Formation energy from raw total energies   -2031 meV/atom
Total moment   0.00 μB/f.u.

Cell and atoms, written as POSCAR:
```
LiGa2PO6
1.0
-1.387 4.505 2.605
-6.014 -1.507 3.489
4.632 0.690 5.356
Li Ga P O
2 4 2 12
Cartesian
-5.637 -0.232 4.267
2.868 3.919 7.183
-2.243 0.822 6.339
-1.624 0.243 3.494
-0.526 2.866 5.111
-1.144 3.444 7.956
2.320 1.411 5.663
-5.089 2.277 5.788
-2.504 -0.111 8.125
-1.626 1.122 1.663
-0.264 3.799 3.326
-1.143 2.565 9.788
-4.089 1.160 6.114
-3.162 -0.793 3.126
1.320 2.528 5.337
0.393 4.481 8.324
-1.573 -0.655 5.425
-1.913 1.799 4.475
-1.195 4.343 6.025
-0.855 1.889 6.975
```



No. 13
Below is a relaxed structure of Li9Ga3P8O29, with properties calculated at the PBE-GGA level.

Results
Formation energy from raw total energies   -2259 meV/atom
Total moment   0.25 μB/f.u.

Cell and atoms, written as POSCAR:
```
Li9Ga3P8O29
1.0
-5.350 4.058 7.108
3.122 -9.224 0.889
11.482 4.473 6.088
Li Ga P O
18 6 16 58
Cartesian
4.450 -0.497 9.462
6.857 -4.696 4.058
-2.004 -2.193 7.365
4.804 -0.196 4.623
1.844 1.333 7.352
12.301 -3.148 8.168
-3.047 2.455 5.918
4.264 -3.643 8.175
1.669 -4.263 3.689
9.589 -0.177 11.101
5.741 2.236 3.044
11.258 1.500 6.720
7.410 -2.026 6.733
4.991 2.949 5.910
-0.335 -0.516 2.985
2.397 4.003 10.028
7.586 3.569 10.397
0.000 0.000 0.000
4.634 -4.091 2.024
-0.151 3.410 5.537
1.901 -1.130 5.003
7.353 0.437 9.083
9.970 -0.660 4.953
6.283 5.121 7.660
10.335 -0.887 8.284
3.422 -6.765 3.366
2.534 1.982 4.430
4.594 -3.123 5.240
0.559 -3.670 6.492
1.937 -1.618 8.201
7.317 0.925 5.884
4.661 2.430 8.846
2.296 -1.857 1.883
-0.209 3.140 8.752
-1.080 0.194 5.802
6.958 1.164 12.202
8.695 2.977 7.594
5.832 6.072 10.720
9.463 -3.833 5.333
6.720 -2.675 9.656
11.069 -3.907 5.266
10.190 -0.215 6.879
9.096 -0.518 9.164
7.161 0.052 7.142
3.778 -4.006 6.241
0.159 -0.175 4.921
-0.960 -3.698 6.601
9.030 -2.357 5.387
1.733 1.981 3.034
0.197 3.851 7.454
6.416 2.567 11.871
1.106 -5.104 6.524
3.722 -1.901 4.799
-0.935 -0.478 7.207
4.290 3.282 10.104
2.093 -0.745 6.943
8.164 0.188 4.838
8.138 2.256 6.267
3.250 -2.065 8.828
5.860 -2.630 5.911
0.224 1.663 8.699
1.116 -2.949 7.818
10.403 -2.440 8.111
6.290 -1.223 9.410
8.156 2.238 8.832
5.677 -0.144 2.841
3.534 -0.844 1.711
3.394 1.937 8.174
9.694 -1.905 12.073
10.214 3.005 7.485
5.476 3.313 7.845
2.698 -5.962 4.462
6.004 1.372 5.257
8.149 4.410 7.561
13.130 -2.968 6.373
-0.440 1.212 2.013
1.098 -2.931 5.254
-1.149 1.747 5.975
1.588 2.446 5.552
9.057 -4.544 6.631
2.964 0.530 4.676
7.784 0.632 11.024
3.578 -0.549 11.244
5.532 1.208 9.286
4.964 -3.975 3.981
3.713 -5.859 2.162
6.556 5.269 9.623
11.601 -0.393 8.955
5.541 5.166 11.924
1.090 -0.881 9.247
7.666 -3.139 8.533
6.888 -6.367 5.129
-2.347 -0.300 5.130
2.838 -3.260 2.214
2.366 5.674 8.957
-3.876 2.275 7.713
1.470 -1.325 3.061
4.400 6.549 10.162
```



No. 14
Below is a relaxed structure of LiGaPO2, with properties calculated at the PBE-GGA level.

Results
Polymorph energy (0 for the lowest one)   40.3 kJ/mol of atoms
Formation energy from raw total energies   133 meV/atom
Total moment   1.63 μB/f.u.

Cell and atoms, written as POSCAR:
```
LiGaPO2
1.0
3.658 0.000 0.000
0.000 3.658 0.000
0.000 0.000 4.683
P O Ga Li
1 2 1 1
Cartesian
0.000 0.000 2.342
0.000 1.829 0.000
1.829 0.000 0.000
1.829 1.829 2.342
0.000 0.000 0.000
```



No. 15
Below is a relaxed structure of LiGaPO2, with properties calculated at the PBE-GGA level.

Results
Polymorph energy (0 for the lowest one)   0.0 kJ/mol of atoms
Formation energy from raw total energies   -285 meV/atom
Total moment   2.42 μB/f.u.

Cell and atoms, written as POSCAR:
```
LiGaPO2
1.0
3.810 0.000 0.000
0.000 3.810 0.000
0.000 0.000 5.152
P O Ga Li
1 2 1 1
Cartesian
0.000 0.000 2.576
0.000 1.905 0.000
1.905 0.000 0.000
0.000 0.000 0.000
1.905 1.905 2.576
```



No. 16
Below is a relaxed structure of LiPaGaO5, with properties calculated at the PBE-GGA level.

Results
Formation energy from raw total energies   -2370 meV/atom
Total moment   0.00 μB/f.u.

Cell and atoms, written as POSCAR:
```
LiPaGaO5
1.0
-0.209 -3.670 -4.667
2.299 -2.263 4.989
-7.750 0.776 1.900
Li Pa Ga O
2 2 2 10
Cartesian
-0.355 -2.471 2.704
-5.304 -2.686 -0.482
-3.875 0.388 0.950
0.000 0.000 0.000
-1.424 -3.071 -1.414
-4.234 -2.086 3.636
0.148 -2.189 4.639
-5.806 -2.968 -2.417
-0.637 -4.287 -2.597
-5.022 -0.870 4.819
-2.763 -2.165 -2.354
-2.896 -2.992 4.576
-2.177 -3.869 0.088
-3.482 -1.288 2.134
-0.104 -1.954 -0.730
-5.554 -3.203 2.951
```



No. 17
Below is a relaxed structure of LiPaGa2O8, with properties calculated at the PBE-GGA level.

Results
Formation energy from raw total energies   -1604 meV/atom
Total moment   4.01 μB/f.u.

Cell and atoms, written as POSCAR:
```
LiPaGa2O8
1.0
-0.696 -3.018 -5.161
-3.910 -1.838 4.190
-0.969 5.843 -1.070
Li Pa Ga O
1 1 2 8
Cartesian
-3.591 0.788 1.317
0.000 0.000 0.000
-1.984 0.199 -3.358
-2.303 -2.428 -0.485
-0.918 0.347 -1.881
-2.388 -0.723 0.311
-1.443 3.549 -1.984
-1.627 1.551 -4.535
-3.502 -2.793 -1.891
-1.657 -1.405 -4.172
-3.735 0.301 -2.843
-3.818 1.941 -0.517
```